[1]
PBE SnHg3Pb12, optimized geometry; space group = P4/mmm, No. 123; formation energy = 0.00 eV/atom; volume = 30.1 Å³ per atom
1.0
-3.279 3.512 0.223
-3.037 -2.978 2.245
7.689 6.011 18.378
Sn Hg Pb
1 3 12
Cartesian
0.000 0.000 0.000
1.945 1.521 4.650
3.844 3.005 9.189
5.743 4.490 13.728
-3.158 0.267 1.234
-1.220 1.781 5.865
0.686 3.272 10.423
2.593 4.763 14.981
-0.663 2.519 2.445
1.256 4.019 7.033
3.154 5.503 11.568
5.073 7.003 16.156
-0.542 -0.726 3.456
1.377 0.774 8.043
3.275 2.258 12.579
5.194 3.758 17.167

***

[2]
PBE SnHg3Pb5, optimized geometry; space group = C2/m, No. 12; formation energy = 0.14 eV/atom; volume = 32.2 Å³ per atom
1.0
-3.032 2.104 5.455
-3.785 -5.365 0.520
9.615 -5.800 7.313
Sn Hg Pb
2 6 10
Cartesian
0.282 -7.316 11.032
2.516 -1.744 2.257
3.320 -7.474 10.806
0.255 -5.110 7.696
0.000 0.000 0.000
4.808 -2.900 3.656
-0.521 -1.587 2.482
2.543 -3.951 5.592
-1.824 -2.674 8.141
-3.540 -2.931 2.128
-3.811 -3.241 5.488
-0.563 -3.285 5.058
3.361 -5.776 8.231
6.610 -5.819 7.800
-2.175 -6.158 5.839
-3.277 -0.329 3.847
4.622 -6.387 5.148
4.973 -2.903 7.450

***

[3]
PBE SnHgPb3, optimized geometry; space group = Pmmn, No. 59; distance to the lowest polymorph of the same formula = 0.058 eV/atom; formation energy = 0.08 eV/atom; volume = 31.6 Å³ per atom
1.0
-4.566 1.396 -1.362
-1.994 0.094 6.782
2.460 8.636 0.603
Sn Hg Pb
2 2 6
Cartesian
-3.849 4.876 4.328
-0.251 5.250 1.696
-3.548 2.389 0.766
-0.553 7.738 5.257
-4.736 1.765 4.111
0.635 8.362 1.913
-1.665 7.273 -0.542
-2.635 7.319 2.760
-2.435 2.854 6.566
-1.465 2.808 3.264

***

[4]
PBE Sn3Hg3Pb5, optimized geometry; space group = P-62m, No. 189; formation energy = 0.13 eV/atom; volume = 30.7 Å³ per atom
1.0
3.506 0.000 0.000
0.000 9.140 -5.277
0.000 0.000 10.554
Sn Hg Pb
3 3 5
Cartesian
0.000 5.492 -3.171
0.000 0.000 6.342
0.000 3.648 2.106
1.753 7.636 -4.408
1.753 1.504 0.868
1.753 0.000 8.817
1.753 6.093 0.000
1.753 3.047 5.277
1.753 3.178 -1.835
1.753 5.961 3.442
1.753 0.000 3.670

***

[5]
PBE SnHg8Pb6, optimized geometry; space group = R-3, No. 148; formation energy = 0.03 eV/atom; volume = 28.5 Å³ per atom
1.0
5.275 0.000 2.768
1.911 4.916 2.768
-3.763 -2.574 13.579
Sn Hg Pb
1 8 6
Cartesian
0.000 0.000 0.000
1.666 -0.075 7.526
2.258 -0.863 10.674
-0.630 0.762 9.742
4.789 3.277 3.693
-1.366 -0.935 15.423
4.053 1.580 9.373
1.165 3.205 8.441
1.757 2.417 11.589
-0.778 -1.735 12.162
4.684 0.798 6.029
1.804 2.439 5.107
1.619 -0.097 14.009
-1.261 1.544 13.086
4.201 4.077 6.953

***

[6]
PBE Sn3Hg4Pb2, optimized geometry; space group = P-1, No. 2; formation energy = 0.05 eV/atom; volume = 28.0 Å³ per atom
1.0
-3.195 0.156 1.369
3.641 -0.131 10.287
1.130 6.634 5.134
Sn Hg Pb
3 4 2
Cartesian
0.509 6.083 8.385
0.000 0.000 0.000
1.067 0.576 8.405
2.985 2.318 12.324
-1.217 1.356 5.606
2.792 5.303 11.184
-1.410 4.341 4.466
0.375 3.217 10.276
1.200 3.442 6.514

***

[7]
PBE SnHg2Pb9, optimized geometry; space group = P4/mmm, No. 123; formation energy = 0.01 eV/atom; volume = 30.1 Å³ per atom
1.0
-1.629 -4.550 -1.005
3.299 -1.878 3.155
-9.888 1.109 11.001
Sn Hg Pb
1 2 9
Cartesian
0.000 0.000 0.000
-3.301 0.370 3.672
-6.587 0.739 7.329
0.835 -3.214 1.075
-2.469 -2.843 4.751
-5.748 -2.475 8.400
-2.485 -2.088 1.356
-5.758 -1.720 4.998
-9.031 -1.353 8.640
-0.021 -0.752 3.436
-3.294 -0.384 7.078
-6.567 -0.017 10.720

***

[8]
PBE SnHg2Pb, optimized geometry; space group = R3m, No. 160; formation energy = 0.08 eV/atom; volume = 29.7 Å³ per atom
1.0
-0.875 -3.509 -3.100
-1.061 -4.365 1.582
-6.515 -1.187 -0.477
Sn Hg Pb
1 2 1
Cartesian
-7.658 -6.472 -1.490
-5.208 -1.507 -0.484
-1.962 -2.302 -0.500
-4.363 -4.497 -0.997

***

[9]
PBE SnHg2Pb, optimized geometry; space group = P4mm, No. 99; formation energy = 0.05 eV/atom; volume = 27.5 Å³ per atom
1.0
3.453 0.000 0.000
0.000 3.453 0.000
0.000 0.000 9.230
Sn Hg Pb
1 2 1
Cartesian
1.726 1.726 7.012
0.000 0.000 0.050
1.726 1.726 2.167
0.000 0.000 4.616

***

[10]
PBE SnHg6Pb8, optimized geometry; space group = P-1, No. 2; distance to the lowest polymorph of the same formula = 0.008 eV/atom; formation energy = 0.06 eV/atom; volume = 30.8 Å³ per atom
1.0
7.633 -1.378 3.236
1.713 5.559 2.560
-1.426 -1.990 9.013
Sn Hg Pb
1 6 8
Cartesian
0.000 0.000 0.000
8.162 1.498 6.041
6.422 2.414 12.088
3.303 2.102 11.997
4.617 0.089 2.813
1.498 -0.222 2.722
-0.242 0.693 8.769
4.876 0.273 9.877
5.652 -0.396 5.758
5.126 2.639 7.428
0.091 0.154 5.461
7.829 2.037 9.349
2.794 -0.448 7.382
2.268 2.587 9.052
3.044 1.919 4.933

***

[11]
PBE SnHgPb, optimized geometry; space group = R-3m, No. 166; distance to the lowest polymorph of the same formula = 0.040 eV/atom; formation energy = 0.07 eV/atom; volume = 31.1 Å³ per atom
1.0
-1.510 -4.099 -1.217
0.358 -1.361 -4.311
9.047 -5.910 0.232
Sn Hg Pb
2 2 2
Cartesian
7.546 -9.232 -3.614
0.349 -2.138 -1.681
4.999 -4.155 -0.658
2.896 -7.215 -4.638
1.658 -4.692 -3.152
6.237 -6.678 -2.144

***

[12]
PBE Sn2Hg2Pb15, optimized geometry; space group = R-3m, No. 166; formation energy = 0.15 eV/atom; volume = 33.5 Å³ per atom
1.0
-7.240 3.184 -4.679
-1.342 -4.508 -7.895
-7.209 -5.686 0.381
Sn Hg Pb
2 2 15
Cartesian
-5.590 -2.482 -4.316
-10.200 -4.528 -7.876
-1.479 -0.657 -1.142
-14.312 -6.353 -11.050
-3.604 -2.843 0.190
-3.620 1.592 -2.339
-0.671 -2.254 -3.947
-3.184 -2.105 -6.890
-5.376 -5.318 -2.204
-7.230 0.414 -3.098
-3.175 -4.876 -5.310
-7.218 -2.916 -1.199
-5.398 0.782 -5.683
-6.320 -1.714 -7.491
-6.306 -5.609 -5.270
-8.896 -2.231 -3.857
-9.471 -5.296 -4.701
-9.484 -1.401 -6.923
-6.895 -4.778 -8.335

***

[13]
PBE Sn3Hg4Pb8, optimized geometry; space group = C2/m, No. 12; formation energy = 0.09 eV/atom; volume = 30.7 Å³ per atom
1.0
6.512 -0.076 -0.109
-3.101 8.414 1.046
-3.101 -1.940 8.254
Sn Hg Pb
3 4 8
Cartesian
1.706 4.169 0.468
1.706 -1.008 4.072
0.155 3.199 4.595
3.256 -0.038 -0.055
-1.550 4.207 0.523
0.000 0.000 0.000
-1.550 -0.970 4.127
1.667 1.572 2.258
-3.101 4.684 3.642
4.914 1.564 2.247
0.155 5.844 2.754
0.155 0.554 6.437
-4.603 4.834 6.944
-3.101 1.790 5.657
-1.356 4.826 6.933

***

[14]
PBE Sn3Hg12Pb5, optimized geometry; space group = Ia-3d, No. 230; formation energy = 0.18 eV/atom; volume = 33.2 Å³ per atom
1.0
-11.000 -1.057 10.303
3.658 -13.817 -4.897
12.128 6.510 6.230
Sn Pb Hg
12 20 48
Cartesian
-5.362 -5.160 6.670
-5.365 -10.474 6.121
6.198 -6.690 4.085
2.255 0.450 4.300
-6.136 -1.024 9.961
1.193 -7.405 2.361
3.592 -0.960 9.276
10.922 -7.340 1.676
2.531 -8.814 7.337
-1.413 -1.674 7.552
10.151 2.110 5.515
10.148 -3.204 4.967
3.029 -3.686 1.009
1.829 -6.909 -2.448
0.000 0.000 0.000
-1.695 -3.037 3.418
0.564 2.727 8.267
-3.671 -7.437 2.703
5.917 -8.054 -0.048
2.819 3.176 12.567
-1.416 -6.987 7.003
5.428 2.759 7.924
-0.642 -11.123 3.712
2.393 -4.182 5.818
-5.500 -0.528 5.152
6.064 3.255 3.115
6.202 -1.377 4.634
1.967 -11.540 -0.930
7.893 -3.654 0.667
-1.131 -0.310 11.685
6.480 -5.327 8.218
1.757 -4.678 10.628
-6.786 -2.230 7.334
3.655 -5.383 3.313
-5.735 -4.289 9.477
-3.716 -2.974 5.537
4.214 -6.450 6.742
-6.127 -7.755 7.878
4.011 -8.296 2.163
4.185 -11.625 -2.840
5.263 -9.136 5.470
-3.853 -7.961 5.704
-2.411 -4.424 8.013
-4.922 -13.297 4.421
8.067 -6.626 1.336
-1.215 -5.682 2.257
6.714 -10.595 -1.266
3.004 1.397 7.005
2.389 -0.905 1.669
-1.470 -9.251 1.618
-2.646 -11.602 5.794
0.806 -5.224 -0.119
8.679 -8.303 3.933
0.919 -6.792 5.246
-0.318 -8.771 9.050
3.729 0.484 11.859
3.867 -1.572 6.391
5.104 0.407 2.586
1.057 -8.848 -0.222
7.432 3.238 5.843
-3.893 -0.061 7.703
3.980 -3.140 11.756
6.256 0.887 10.019
1.782 -9.761 4.631
2.397 -7.459 9.967
-1.929 2.231 12.903
-3.281 -1.738 10.301
9.708 4.933 7.215
6.000 -2.682 9.380
-0.477 0.772 6.167
8.639 -0.403 5.933
7.197 -3.940 3.624
0.600 3.261 14.477
0.774 -0.068 9.474
8.501 -5.390 6.100
10.912 -0.609 3.759
0.572 -1.914 4.895
10.521 -4.075 2.160
1.131 -2.981 8.324
11.572 -6.134 4.303

***

[15]
PBE Sn2Hg2Pb3, optimized geometry; space group = Pbcm, No. 57; distance to the lowest polymorph of the same formula = 0.011 eV/atom; formation energy = 0.06 eV/atom; volume = 29.1 Å³ per atom
1.0
-1.072 6.857 -2.065
-5.326 -1.750 -3.047
-9.352 2.951 14.650
Sn Hg Pb
8 8 12
Cartesian
-1.845 2.848 -1.751
-9.228 3.735 3.964
-4.552 2.259 -3.361
-6.521 4.323 5.574
-3.481 0.813 2.918
-12.268 7.245 6.620
-7.081 5.938 -0.413
-8.668 2.120 9.951
-4.071 1.489 -0.125
-9.448 5.865 6.169
-9.429 4.296 0.949
-8.550 4.466 12.083
-11.678 6.569 9.663
-6.301 2.193 3.369
-6.320 3.762 8.589
-7.199 3.592 -2.545
-4.857 4.266 1.344
-10.892 3.792 8.194
-7.296 1.961 0.251
-8.453 6.097 9.287
-6.006 -0.451 -2.088
-6.527 7.494 6.587
-7.318 6.294 3.013
-11.647 2.779 11.564
-9.743 8.509 11.626
-9.222 0.564 2.951
-8.431 1.764 6.525
-4.102 5.279 -2.026

***

[16]
PBE SrSnHgPb, optimized geometry; space group = Pmmm, No. 47; distance to the lowest polymorph of the same formula = 0.008 eV/atom; formation energy = -0.35 eV/atom; volume = 29.2 Å³ per atom
1.0
-3.489 3.264 0.894
-1.665 -2.793 3.697
2.973 2.330 3.100
Sr Sn Hg Pb
1 1 1 1
Cartesian
-0.258 2.797 1.997
0.000 0.000 0.000
-2.577 0.235 2.295
0.654 -0.232 3.398

***

[17]
PBE SrSnHgPb, optimized geometry; space group = F-43m, No. 216; distance to the lowest polymorph of the same formula = 0.000 eV/atom; formation energy = -0.35 eV/atom; volume = 31.0 Å³ per atom
1.0
5.598 0.000 0.000
2.799 4.848 0.000
2.799 1.616 4.571
Pb Sr Hg Sn
1 1 1 1
Cartesian
0.000 0.000 0.000
5.598 3.232 2.285
8.397 4.848 3.428
2.799 1.616 1.143

***

[18]
PBE Sr3SnHg6Pb2, optimized geometry; space group = P-3m1, No. 164; formation energy = -0.29 eV/atom; volume = 29.5 Å³ per atom
1.0
6.141 0.000 0.000
-3.071 5.318 0.000
0.000 0.000 10.846
Sr Sn Hg Pb
3 1 6 2
Cartesian
0.000 3.546 6.354
3.071 1.773 4.491
0.000 0.000 0.000
0.000 0.000 5.423
1.491 4.406 2.792
0.000 1.824 2.792
-1.491 4.406 2.792
3.071 3.494 8.054
1.580 0.912 8.054
4.562 0.912 8.054
3.071 1.773 0.803
0.000 3.546 10.043

***

no.,M_tot (μB per atom)
1,0.00
2,0.00
3,0.00
4,0.00
5,0.00
6,0.00
7,0.00
8,0.00
9,0.00
10,0.00
11,0.00
12,0.00
13,0.00
14,0.00
15,0.00
16,0.00
17,0.00
18,0.00